[1]
Material: Tb2YNpAs4
Method: DFT, PBE
State: optimized geometry

Summary:
Its formation energy is -1.323 eV/atom. For the size of the total moment, the calculation gives 3.763 μB per cell.

```
data_Tb2YNpAs4
_space_group_name_H-M_alt 'P 1'
_space_group_IT_number 1
_space_group_name_Hall 'P 1'
_cell_length_a 7.1417
_cell_length_b 4.1196
_cell_length_c 7.1440
_cell_angle_alpha 90.00
_cell_angle_beta 109.31
_cell_angle_gamma 90.00
loop_
_atom_site_label
_atom_site_fract_x
_atom_site_fract_y
_atom_site_fract_z
Tb1 0.0000 0.0000 0.0000
Tb2 0.5000 0.5000 0.0000
Y1 0.0000 0.5000 0.5000
Np1 0.5000 0.0000 0.5000
As1 0.2519 0.0000 0.7473
As2 0.2524 0.5000 0.2528
As3 0.7481 0.0000 0.2527
As4 0.7476 0.5000 0.7472
```


[2]
Material: TbYNp2As4
Method: DFT, PBE
State: optimized geometry

Summary:
Its formation energy is -1.087 eV/atom. For the size of the total moment, the calculation gives 0.004 μB per cell.

```
data_TbYNp2As4
_space_group_name_H-M_alt 'P 1'
_space_group_IT_number 1
_space_group_name_Hall 'P 1'
_cell_length_a 7.1374
_cell_length_b 4.0967
_cell_length_c 7.1392
_cell_angle_alpha 90.00
_cell_angle_beta 109.28
_cell_angle_gamma 90.00
loop_
_atom_site_label
_atom_site_fract_x
_atom_site_fract_y
_atom_site_fract_z
Tb1 0.0000 0.0000 0.0000
Y1 0.5000 0.5000 0.0000
Np1 0.0000 0.5000 0.5000
Np2 0.5000 0.0000 0.5000
As1 0.2493 0.0000 0.7469
As2 0.2514 0.5000 0.2532
As3 0.7486 0.5000 0.7468
As4 0.7507 0.0000 0.2531
```


[3]
Material: TbY2NpAs4
Method: DFT, PBE
State: optimized geometry

Summary:
Its formation energy is -1.327 eV/atom. For the size of the total moment, the calculation gives 3.770 μB per cell.

```
data_TbY2NpAs4
_space_group_name_H-M_alt 'P 1'
_space_group_IT_number 1
_space_group_name_Hall 'P 1'
_cell_length_a 7.1359
_cell_length_b 4.1169
_cell_length_c 7.1385
_cell_angle_alpha 90.00
_cell_angle_beta 109.33
_cell_angle_gamma 90.00
loop_
_atom_site_label
_atom_site_fract_x
_atom_site_fract_y
_atom_site_fract_z
Tb1 0.0000 0.0000 0.0000
Y1 0.5000 0.0000 0.5000
Y2 0.5000 0.5000 0.0000
Np1 0.0000 0.5000 0.5000
As1 0.2481 0.0000 0.7476
As2 0.2483 0.5000 0.2525
As3 0.7519 0.0000 0.2524
As4 0.7517 0.5000 0.7475
```


[4]
Material: TbZrNp2As4
Method: DFT, PBE
State: optimized geometry

Summary:
Its formation energy is -1.003 eV/atom. For the size of the total moment, the calculation gives 0.100 μB per cell.

```
data_TbZrNp2As4
_space_group_name_H-M_alt 'P 1'
_space_group_IT_number 1
_space_group_name_Hall 'P 1'
_cell_length_a 7.0056
_cell_length_b 4.0333
_cell_length_c 7.0301
_cell_angle_alpha 90.00
_cell_angle_beta 109.26
_cell_angle_gamma 90.00
loop_
_atom_site_label
_atom_site_fract_x
_atom_site_fract_y
_atom_site_fract_z
Tb1 0.0000 0.0000 0.0000
Zr1 0.0000 0.5000 0.5000
Np1 0.5000 0.0000 0.5000
Np2 0.5000 0.5000 0.0000
As1 0.2419 0.0000 0.7404
As2 0.2465 0.5000 0.2570
As3 0.7535 0.5000 0.7430
As4 0.7581 0.0000 0.2596
```


[5]
Material: Tb2ZrNpAs4
Method: DFT, PBE
State: optimized geometry

Summary:
Its formation energy is -1.220 eV/atom. For the size of the total moment, the calculation gives 3.959 μB per cell.

```
data_Tb2ZrNpAs4
_space_group_name_H-M_alt 'P 1'
_space_group_IT_number 1
_space_group_name_Hall 'P 1'
_cell_length_a 7.0090
_cell_length_b 4.0488
_cell_length_c 7.0320
_cell_angle_alpha 90.00
_cell_angle_beta 109.16
_cell_angle_gamma 90.00
loop_
_atom_site_label
_atom_site_fract_x
_atom_site_fract_y
_atom_site_fract_z
Tb1 0.0000 0.0000 0.0000
Tb2 0.5000 0.5000 0.0000
Zr1 0.0000 0.5000 0.5000
Np1 0.5000 0.0000 0.5000
As1 0.2408 0.0000 0.7380
As2 0.2462 0.5000 0.2578
As3 0.7538 0.5000 0.7422
As4 0.7592 0.0000 0.2620
```


[6]
Material: NpTcAs
Method: DFT, PBE
State: optimized geometry

Summary:
The value obtained for the energy above the lowest structure with this stoichiometry is 0.00 kcal/mol of atoms. Its formation energy is -0.308 eV/atom. For the size of the total moment, the calculation gives 6.181 μB per cell.

```
data_NpTcAs
_space_group_name_H-M_alt 'P 1'
_space_group_IT_number 1
_space_group_name_Hall 'P 1'
_cell_length_a 6.1246
_cell_length_b 6.1246
_cell_length_c 4.4543
_cell_angle_alpha 90.00
_cell_angle_beta 90.00
_cell_angle_gamma 139.94
loop_
_atom_site_label
_atom_site_fract_x
_atom_site_fract_y
_atom_site_fract_z
Np1 0.0759 0.9241 0.7500
Np2 0.9241 0.0759 0.2500
Tc1 0.2471 0.7529 0.2500
Tc2 0.7529 0.2471 0.7500
As1 0.3739 0.6261 0.7500
As2 0.6261 0.3739 0.2500
```


[7]
Material: NpTc2As
Method: DFT, PBE
State: optimized geometry

Summary:
The value obtained for the energy above the lowest structure with this stoichiometry is 0.42 kcal/mol of atoms. Its formation energy is -0.019 eV/atom. For the size of the total moment, the calculation gives 2.381 μB per cell.

```
data_NpTc2As
_space_group_name_H-M_alt 'P 1'
_space_group_IT_number 1
_space_group_name_Hall 'P 1'
_cell_length_a 4.5579
_cell_length_b 4.5579
_cell_length_c 4.5579
_cell_angle_alpha 60.00
_cell_angle_beta 60.00
_cell_angle_gamma 60.00
loop_
_atom_site_label
_atom_site_fract_x
_atom_site_fract_y
_atom_site_fract_z
Np1 0.0000 0.0000 0.0000
Tc1 0.2500 0.2500 0.2500
Tc2 0.7500 0.7500 0.7500
As1 0.5000 0.5000 0.5000
```


[8]
Material: NpTc3As3
Method: DFT, PBE
State: optimized geometry

Summary:
Its formation energy is 0.402 eV/atom. For the size of the total moment, the calculation gives 8.675 μB per cell.

```
data_NpTc3As3
_space_group_name_H-M_alt 'P 1'
_space_group_IT_number 1
_space_group_name_Hall 'P 1'
_cell_length_a 6.7399
_cell_length_b 6.7399
_cell_length_c 6.7399
_cell_angle_alpha 90.00
_cell_angle_beta 90.00
_cell_angle_gamma 90.00
loop_
_atom_site_label
_atom_site_fract_x
_atom_site_fract_y
_atom_site_fract_z
Np1 0.0000 0.0000 0.0000
Np2 0.5000 0.5000 0.5000
Tc1 0.0000 0.2500 0.5000
Tc2 0.0000 0.7500 0.5000
Tc3 0.2500 0.5000 0.0000
Tc4 0.5000 0.0000 0.2500
Tc5 0.5000 0.0000 0.7500
Tc6 0.7500 0.5000 0.0000
As1 0.0000 0.5000 0.2500
As2 0.0000 0.5000 0.7500
As3 0.2500 0.0000 0.5000
As4 0.5000 0.2500 0.0000
As5 0.5000 0.7500 0.0000
As6 0.7500 0.0000 0.5000
```


[9]
Material: NpTcAs
Method: DFT, PBE
State: optimized geometry

Summary:
The value obtained for the energy above the lowest structure with this stoichiometry is 1.92 kcal/mol of atoms. Its formation energy is -0.225 eV/atom. For the size of the total moment, the calculation gives 2.136 μB per cell.

```
data_NpTcAs
_space_group_name_H-M_alt 'P 1'
_space_group_IT_number 1
_space_group_name_Hall 'P 1'
_cell_length_a 4.3820
_cell_length_b 4.3820
_cell_length_c 3.3585
_cell_angle_alpha 90.00
_cell_angle_beta 90.00
_cell_angle_gamma 120.00
loop_
_atom_site_label
_atom_site_fract_x
_atom_site_fract_y
_atom_site_fract_z
Np1 0.0000 0.0000 0.0000
Tc1 0.6667 0.3333 0.5000
As1 0.3333 0.6667 0.5000
```


[10]
Material: NpTc2As
Method: DFT, PBE
State: optimized geometry

Summary:
The value obtained for the energy above the lowest structure with this stoichiometry is 0.00 kcal/mol of atoms. Its formation energy is -0.037 eV/atom. For the size of the total moment, the calculation gives 1.623 μB per cell.

```
data_NpTc2As
_space_group_name_H-M_alt 'P 1'
_space_group_IT_number 1
_space_group_name_Hall 'P 1'
_cell_length_a 4.2429
_cell_length_b 4.2429
_cell_length_c 3.6842
_cell_angle_alpha 90.00
_cell_angle_beta 90.00
_cell_angle_gamma 90.00
loop_
_atom_site_label
_atom_site_fract_x
_atom_site_fract_y
_atom_site_fract_z
Np1 0.0000 0.0000 0.0000
Tc1 0.0000 0.5000 0.5000
Tc2 0.5000 0.0000 0.5000
As1 0.5000 0.5000 0.0000
```


[11]
Material: NpTcAs
Method: DFT, PBE
State: optimized geometry

Summary:
The value obtained for the energy above the lowest structure with this stoichiometry is 4.20 kcal/mol of atoms. Its formation energy is -0.126 eV/atom. For the size of the total moment, the calculation gives 3.673 μB per cell.

```
data_NpTcAs
_space_group_name_H-M_alt 'P 1'
_space_group_IT_number 1
_space_group_name_Hall 'P 1'
_cell_length_a 5.8596
_cell_length_b 5.8596
_cell_length_c 5.8596
_cell_angle_alpha 148.42
_cell_angle_beta 148.42
_cell_angle_gamma 45.26
loop_
_atom_site_label
_atom_site_fract_x
_atom_site_fract_y
_atom_site_fract_z
Np1 0.0000 0.0000 0.0000
Tc1 0.3155 0.3155 0.0000
As1 0.7011 0.7011 0.0000
```


[12]
Material: NpTe2As
Method: DFT, PBE
State: optimized geometry

Summary:
The uncorrected formation energy is 382 meV per atom. For the size of the total moment, the calculation gives 5.521 μB per cell.

```
data_NpTe2As
_space_group_name_H-M_alt 'P 1'
_space_group_IT_number 1
_space_group_name_Hall 'P 1'
_cell_length_a 9.8357
_cell_length_b 9.8357
_cell_length_c 9.8357
_cell_angle_alpha 23.18
_cell_angle_beta 23.18
_cell_angle_gamma 23.18
loop_
_atom_site_label
_atom_site_fract_x
_atom_site_fract_y
_atom_site_fract_z
Np1 0.0000 0.0000 0.0000
Te1 0.1062 0.1062 0.1062
Te2 0.8938 0.8938 0.8938
As1 0.5000 0.5000 0.5000
```


[13]
Material: NpTeAs2
Method: DFT, PBE
State: optimized geometry

Summary:
The uncorrected formation energy is 102 meV per atom. For the size of the total moment, the calculation gives 3.634 μB per cell.

```
data_NpTeAs2
_space_group_name_H-M_alt 'P 1'
_space_group_IT_number 1
_space_group_name_Hall 'P 1'
_cell_length_a 8.6297
_cell_length_b 8.6297
_cell_length_c 8.6297
_cell_angle_alpha 28.26
_cell_angle_beta 28.26
_cell_angle_gamma 28.26
loop_
_atom_site_label
_atom_site_fract_x
_atom_site_fract_y
_atom_site_fract_z
Np1 0.0000 0.0000 0.0000
Te1 0.5000 0.5000 0.5000
As1 0.3915 0.3915 0.3915
As2 0.6085 0.6085 0.6085
```


[14]
Material: Np4TeAs3
Method: DFT, PBE
State: optimized geometry

Summary:
The uncorrected formation energy is -612 meV per atom. For the size of the total moment, the calculation gives 16.381 μB per cell.

```
data_Np4TeAs3
_space_group_name_H-M_alt 'P 1'
_space_group_IT_number 1
_space_group_name_Hall 'P 1'
_cell_length_a 5.9275
_cell_length_b 5.9275
_cell_length_c 5.9275
_cell_angle_alpha 90.00
_cell_angle_beta 90.00
_cell_angle_gamma 90.00
loop_
_atom_site_label
_atom_site_fract_x
_atom_site_fract_y
_atom_site_fract_z
Np1 0.0000 0.0000 0.0000
Np2 0.0000 0.5000 0.5000
Np3 0.5000 0.0000 0.5000
Np4 0.5000 0.5000 0.0000
Te1 0.5000 0.5000 0.5000
As1 0.0000 0.0000 0.5000
As2 0.0000 0.5000 0.0000
As3 0.5000 0.0000 0.0000
```


[15]
Material: Np6TeAs5
Method: DFT, PBE
State: optimized geometry

Summary:
The uncorrected formation energy is -619 meV per atom. For the size of the total moment, the calculation gives 8.017 μB per cell.

```
data_Np6TeAs5
_space_group_name_H-M_alt 'P 1'
_space_group_IT_number 1
_space_group_name_Hall 'P 1'
_cell_length_a 7.2328
_cell_length_b 7.2328
_cell_length_c 7.1661
_cell_angle_alpha 99.79
_cell_angle_beta 99.79
_cell_angle_gamma 120.57
loop_
_atom_site_label
_atom_site_fract_x
_atom_site_fract_y
_atom_site_fract_z
Np1 0.0675 0.4126 0.7398
Np2 0.2377 0.2377 0.2530
Np3 0.4126 0.0675 0.7398
Np4 0.5874 0.9325 0.2602
Np5 0.7623 0.7623 0.7470
Np6 0.9325 0.5874 0.2602
Te1 0.5000 0.5000 0.0000
As1 0.0000 0.0000 0.5000
As2 0.1683 0.8317 0.0000
As3 0.3399 0.6601 0.5000
As4 0.6601 0.3399 0.5000
As5 0.8317 0.1683 0.0000
```


[16]
Material: Np5TeAs4
Method: DFT, PBE
State: optimized geometry

Summary:
The uncorrected formation energy is -634 meV per atom. For the size of the total moment, the calculation gives 12.148 μB per cell.

```
data_Np5TeAs4
_space_group_name_H-M_alt 'P 1'
_space_group_IT_number 1
_space_group_name_Hall 'P 1'
_cell_length_a 7.2403
_cell_length_b 7.2403
_cell_length_c 10.2628
_cell_angle_alpha 118.51
_cell_angle_beta 118.51
_cell_angle_gamma 33.14
loop_
_atom_site_label
_atom_site_fract_x
_atom_site_fract_y
_atom_site_fract_z
Np1 0.0000 0.0000 0.0000
Np2 0.2053 0.2053 0.8135
Np3 0.3896 0.3896 0.6060
Np4 0.6104 0.6104 0.3940
Np5 0.7947 0.7947 0.1865
Te1 0.0000 0.0000 0.5000
As1 0.2038 0.2038 0.2943
As2 0.4048 0.4048 0.1051
As3 0.5952 0.5952 0.8949
As4 0.7962 0.7962 0.7057
```


[17]
Material: NpTl3Te6As2
Method: DFT, PBE
State: optimized geometry

Summary:
The uncorrected formation energy is -242 meV per atom. For the size of the total moment, the calculation gives 3.983 μB per cell.

```
data_NpTl3Te6As2
_space_group_name_H-M_alt 'P 1'
_space_group_IT_number 1
_space_group_name_Hall 'P 1'
_cell_length_a 7.5396
_cell_length_b 7.5396
_cell_length_c 8.4251
_cell_angle_alpha 98.60
_cell_angle_beta 98.60
_cell_angle_gamma 119.61
loop_
_atom_site_label
_atom_site_fract_x
_atom_site_fract_y
_atom_site_fract_z
Np1 0.0000 0.0000 0.0000
Tl1 0.1592 0.8408 0.5000
Tl2 0.5000 0.5000 0.5000
Tl3 0.8408 0.1592 0.5000
Te1 0.0699 0.4192 0.2061
Te2 0.2846 0.2846 0.8007
Te3 0.4192 0.0699 0.2061
Te4 0.5808 0.9301 0.7939
Te5 0.7154 0.7154 0.1993
Te6 0.9301 0.5808 0.7939
As1 0.3345 0.6655 0.0000
As2 0.6655 0.3345 0.0000
```


[18]
Material: ThNp5As6
Method: DFT, PBE
State: optimized geometry

Summary:
Its formation energy is -0.806 eV/atom. For the size of the total moment, the calculation gives 19.659 μB per cell.

```
data_ThNp5As6
_space_group_name_H-M_alt 'P 1'
_space_group_IT_number 1
_space_group_name_Hall 'P 1'
_cell_length_a 7.1633
_cell_length_b 7.1633
_cell_length_c 7.1754
_cell_angle_alpha 99.60
_cell_angle_beta 99.60
_cell_angle_gamma 120.02
loop_
_atom_site_label
_atom_site_fract_x
_atom_site_fract_y
_atom_site_fract_z
Th1 0.0000 0.0000 0.0000
Np1 0.1641 0.8359 0.5000
Np2 0.3326 0.6674 0.0000
Np3 0.5000 0.5000 0.5000
Np4 0.6674 0.3326 0.0000
Np5 0.8359 0.1641 0.5000
As1 0.0851 0.4247 0.2545
As2 0.2563 0.2563 0.7482
As3 0.4247 0.0851 0.2545
As4 0.5753 0.9149 0.7455
As5 0.7437 0.7437 0.2518
As6 0.9149 0.5753 0.7455
```


[19]
Material: Th2NpAs3
Method: DFT, PBE
State: optimized geometry

Summary:
Its formation energy is -1.163 eV/atom. For the size of the total moment, the calculation gives 8.385 μB per cell.

```
data_Th2NpAs3
_space_group_name_H-M_alt 'P 1'
_space_group_IT_number 1
_space_group_name_Hall 'P 1'
_cell_length_a 7.3007
_cell_length_b 7.3007
_cell_length_c 7.2933
_cell_angle_alpha 99.61
_cell_angle_beta 99.61
_cell_angle_gamma 119.97
loop_
_atom_site_label
_atom_site_fract_x
_atom_site_fract_y
_atom_site_fract_z
Th1 0.0000 0.0000 0.0000
Th2 0.1653 0.8347 0.5000
Th3 0.5000 0.5000 0.5000
Th4 0.8347 0.1653 0.5000
Np1 0.3329 0.6671 0.0000
Np2 0.6671 0.3329 0.0000
As1 0.0816 0.4200 0.2442
As2 0.2582 0.2582 0.7575
As3 0.4200 0.0816 0.2442
As4 0.5800 0.9184 0.7558
As5 0.7418 0.7418 0.2425
As6 0.9184 0.5800 0.7558
```


[20]
Material: Th4NpAs5
Method: DFT, PBE
State: optimized geometry

Summary:
Its formation energy is -1.256 eV/atom. For the size of the total moment, the calculation gives 4.244 μB per cell.

```
data_Th4NpAs5
_space_group_name_H-M_alt 'P 1'
_space_group_IT_number 1
_space_group_name_Hall 'P 1'
_cell_length_a 7.3304
_cell_length_b 7.3304
_cell_length_c 7.3304
_cell_angle_alpha 99.58
_cell_angle_beta 99.58
_cell_angle_gamma 131.84
loop_
_atom_site_label
_atom_site_fract_x
_atom_site_fract_y
_atom_site_fract_z
Th1 0.0983 0.2999 0.3982
Th2 0.2999 0.9017 0.2016
Th3 0.7001 0.0983 0.7984
Th4 0.9017 0.7001 0.6018
Np1 0.5000 0.5000 0.0000
As1 0.0000 0.0000 0.0000
As2 0.2044 0.5989 0.8033
As3 0.4011 0.2044 0.6054
As4 0.5989 0.7956 0.3946
As5 0.7956 0.4011 0.1967
```